[1]
Ba2TaRe: optimized geometry, PBE.

```
data_Ba2TaRe
_cell_length_a 12.2616
_cell_length_b 12.2616
_cell_length_c 8.9975
_cell_angle_alpha 47.05
_cell_angle_beta 47.05
_cell_angle_gamma 90.00
_symmetry_space_group_name_H-M 'P 1'
_symmetry_Int_Tables_number 1
loop_
_symmetry_equiv_pos_as_xyz
'x,y,z'
loop_
_atom_site_label
_atom_site_type_symbol
_atom_site_fract_x
_atom_site_fract_y
_atom_site_fract_z
Re1 Re 0.0000 0.0000 0.0000
Re2 Re 0.7500 0.2500 0.5000
Ba1 Ba 0.8006 0.1250 0.2500
Ba2 Ba 0.9494 0.6250 0.2500
Ba3 Ba 0.3750 0.1994 0.7500
Ba4 Ba 0.8750 0.0506 0.7500
Ta1 Ta 0.5000 0.5000 0.0000
Ta2 Ta 0.2500 0.7500 0.5000
```

## Properties
energy above the lowest structure with this stoichiometry	15.32	kcal/mol of atoms
electronic total energy	-5.863	eV per atom
formation energy from the elements	1174	meV/atom

***

[2]
Ba2TaRe: optimized geometry, PBE.

```
data_Ba2TaRe
_cell_length_a 6.4705
_cell_length_b 6.4705
_cell_length_c 6.4705
_cell_angle_alpha 141.60
_cell_angle_beta 141.60
_cell_angle_gamma 55.43
_symmetry_space_group_name_H-M 'P 1'
_symmetry_Int_Tables_number 1
loop_
_symmetry_equiv_pos_as_xyz
'x,y,z'
loop_
_atom_site_label
_atom_site_type_symbol
_atom_site_fract_x
_atom_site_fract_y
_atom_site_fract_z
Re1 Re 0.2500 0.7500 0.5000
Ba1 Ba 0.0000 0.0000 0.0000
Ba2 Ba 0.5000 0.5000 0.0000
Ta1 Ta 0.7500 0.2500 0.5000
```

## Properties
energy above the lowest structure with this stoichiometry	20.37	kcal/mol of atoms
electronic total energy	-5.644	eV per atom
formation energy from the elements	1393	meV/atom

***

[3]
Ba2TaRe: optimized geometry, PBE.

```
data_Ba2TaRe
_cell_length_a 6.7789
_cell_length_b 6.7789
_cell_length_c 6.7789
_cell_angle_alpha 148.31
_cell_angle_beta 128.64
_cell_angle_gamma 61.62
_symmetry_space_group_name_H-M 'P 1'
_symmetry_Int_Tables_number 1
loop_
_symmetry_equiv_pos_as_xyz
'x,y,z'
loop_
_atom_site_label
_atom_site_type_symbol
_atom_site_fract_x
_atom_site_fract_y
_atom_site_fract_z
Re1 Re 0.4538 0.4538 0.0000
Ba1 Ba 0.0126 0.0126 0.0000
Ba2 Ba 0.7183 0.2183 0.5000
Ta1 Ta 0.3153 0.8153 0.5000
```

## Properties
energy above the lowest structure with this stoichiometry	5.87	kcal/mol of atoms
electronic total energy	-6.272	eV per atom
formation energy from the elements	764	meV/atom

***

[4]
Ba2TaRe: optimized geometry, PBE.

```
data_Ba2TaRe
_cell_length_a 10.0074
_cell_length_b 10.0074
_cell_length_c 10.0074
_cell_angle_alpha 160.16
_cell_angle_beta 156.48
_cell_angle_gamma 30.95
_symmetry_space_group_name_H-M 'P 1'
_symmetry_Int_Tables_number 1
loop_
_symmetry_equiv_pos_as_xyz
'x,y,z'
loop_
_atom_site_label
_atom_site_type_symbol
_atom_site_fract_x
_atom_site_fract_y
_atom_site_fract_z
Re1 Re 0.7500 0.2500 0.5000
Ba1 Ba 0.8967 0.8967 0.0000
Ba2 Ba 0.6033 0.6033 0.0000
Ta1 Ta 0.2500 0.7500 0.5000
```

## Properties
energy above the lowest structure with this stoichiometry	3.23	kcal/mol of atoms
electronic total energy	-6.387	eV per atom
formation energy from the elements	650	meV/atom

***

[5]
Ba2TaRe: optimized geometry, PBE.

```
data_Ba2TaRe
_cell_length_a 3.0477
_cell_length_b 3.0477
_cell_length_c 11.3848
_cell_angle_alpha 90.00
_cell_angle_beta 90.00
_cell_angle_gamma 90.07
_symmetry_space_group_name_H-M 'P 1'
_symmetry_Int_Tables_number 1
loop_
_symmetry_equiv_pos_as_xyz
'x,y,z'
loop_
_atom_site_label
_atom_site_type_symbol
_atom_site_fract_x
_atom_site_fract_y
_atom_site_fract_z
Re1 Re 0.5000 0.5000 0.2500
Ba1 Ba 0.0000 0.0000 0.0153
Ba2 Ba 0.0000 0.0000 0.4847
Ta1 Ta 0.5000 0.5000 0.7500
```

## Properties
energy above the lowest structure with this stoichiometry	23.90	kcal/mol of atoms
electronic total energy	-5.490	eV per atom
formation energy from the elements	1546	meV/atom

***

[6]
Ba2TaRe: optimized geometry, PBE.

```
data_Ba2TaRe
_cell_length_a 5.7390
_cell_length_b 4.2527
_cell_length_c 4.2527
_cell_angle_alpha 90.00
_cell_angle_beta 90.00
_cell_angle_gamma 90.00
_symmetry_space_group_name_H-M 'P 1'
_symmetry_Int_Tables_number 1
loop_
_symmetry_equiv_pos_as_xyz
'x,y,z'
loop_
_atom_site_label
_atom_site_type_symbol
_atom_site_fract_x
_atom_site_fract_y
_atom_site_fract_z
Re1 Re 0.5000 0.5000 0.0000
Ba1 Ba 0.0000 0.0000 0.0000
Ba2 Ba 0.0000 0.5000 0.5000
Ta1 Ta 0.5000 0.0000 0.5000
```

## Properties
energy above the lowest structure with this stoichiometry	20.54	kcal/mol of atoms
electronic total energy	-5.636	eV per atom
formation energy from the elements	1400	meV/atom

***

[7]
Ba2TaRe: optimized geometry, PBE.

```
data_Ba2TaRe
_cell_length_a 6.7314
_cell_length_b 6.4499
_cell_length_c 3.0261
_cell_angle_alpha 89.89
_cell_angle_beta 63.53
_cell_angle_gamma 114.66
_symmetry_space_group_name_H-M 'P 1'
_symmetry_Int_Tables_number 1
loop_
_symmetry_equiv_pos_as_xyz
'x,y,z'
loop_
_atom_site_label
_atom_site_type_symbol
_atom_site_fract_x
_atom_site_fract_y
_atom_site_fract_z
Re1 Re 0.0000 0.5000 0.5000
Ba1 Ba 0.0000 0.0000 0.0000
Ba2 Ba 0.5000 0.0000 0.5000
Ta1 Ta 0.5000 0.5000 0.0000
```

## Properties
energy above the lowest structure with this stoichiometry	21.80	kcal/mol of atoms
electronic total energy	-5.582	eV per atom
formation energy from the elements	1455	meV/atom

***

[8]
Ba4TaRe: optimized geometry, PBE.

```
data_Ba4TaRe
_cell_length_a 6.8303
_cell_length_b 6.8303
_cell_length_c 6.8303
_cell_angle_alpha 60.00
_cell_angle_beta 60.00
_cell_angle_gamma 60.00
_symmetry_space_group_name_H-M 'P 1'
_symmetry_Int_Tables_number 1
loop_
_symmetry_equiv_pos_as_xyz
'x,y,z'
loop_
_atom_site_label
_atom_site_type_symbol
_atom_site_fract_x
_atom_site_fract_y
_atom_site_fract_z
Ba1 Ba 0.8739 0.3754 0.3754
Ba2 Ba 0.3754 0.3754 0.8739
Ba3 Ba 0.3754 0.8739 0.3754
Ba4 Ba 0.3754 0.3754 0.3754
Ta1 Ta 0.0000 0.0000 0.0000
Re1 Re 0.7500 0.7500 0.7500
```

## Properties
electronic total energy	-3.393	eV per atom
formation energy from the elements	1939	meV/atom

***

[9]
Ba2TaRe: optimized geometry, PBE.

```
data_Ba2TaRe
_cell_length_a 6.1221
_cell_length_b 6.0983
_cell_length_c 4.4476
_cell_angle_alpha 111.36
_cell_angle_beta 111.27
_cell_angle_gamma 102.80
_symmetry_space_group_name_H-M 'P 1'
_symmetry_Int_Tables_number 1
loop_
_symmetry_equiv_pos_as_xyz
'x,y,z'
loop_
_atom_site_label
_atom_site_type_symbol
_atom_site_fract_x
_atom_site_fract_y
_atom_site_fract_z
Re1 Re 0.5771 0.4258 0.0015
Ba1 Ba 0.9630 0.0361 0.9994
Ba2 Ba 0.2893 0.7112 0.5004
Ta1 Ta 0.6706 0.3269 0.4987
```

## Properties
energy above the lowest structure with this stoichiometry	8.60	kcal/mol of atoms
electronic total energy	-6.154	eV per atom
formation energy from the elements	883	meV/atom

***

[10]
Ba2TaRe: optimized geometry, PBE.

```
data_Ba2TaRe
_cell_length_a 4.3486
_cell_length_b 4.3486
_cell_length_c 9.7643
_cell_angle_alpha 77.71
_cell_angle_beta 77.71
_cell_angle_gamma 59.99
_symmetry_space_group_name_H-M 'P 1'
_symmetry_Int_Tables_number 1
loop_
_symmetry_equiv_pos_as_xyz
'x,y,z'
loop_
_atom_site_label
_atom_site_type_symbol
_atom_site_fract_x
_atom_site_fract_y
_atom_site_fract_z
Re1 Re 0.4582 0.4582 0.6252
Ba1 Ba 0.0392 0.0392 0.8934
Ba2 Ba 0.2110 0.2110 0.3566
Ta1 Ta 0.7916 0.7916 0.6248
```

## Properties
energy above the lowest structure with this stoichiometry	0.00	kcal/mol of atoms
electronic total energy	-6.527	eV per atom
formation energy from the elements	510	meV/atom

***

[11]
Ba2TaZnRe: optimized geometry, PBE.

```
data_Ba2TaZnRe
_cell_length_a 5.9635
_cell_length_b 4.9644
_cell_length_c 5.9635
_cell_angle_alpha 90.00
_cell_angle_beta 90.00
_cell_angle_gamma 90.00
_symmetry_space_group_name_H-M 'P 1'
_symmetry_Int_Tables_number 1
loop_
_symmetry_equiv_pos_as_xyz
'x,y,z'
loop_
_atom_site_label
_atom_site_type_symbol
_atom_site_fract_x
_atom_site_fract_y
_atom_site_fract_z
Re1 Re 0.5000 0.5000 0.5000
Zn1 Zn 0.0000 0.0000 0.0000
Ba1 Ba 0.0000 0.0000 0.5000
Ba2 Ba 0.5000 0.0000 0.0000
Ta1 Ta 0.0000 0.5000 0.0000
```

## Properties
energy above the lowest structure with this stoichiometry	1.34	kcal/mol of atoms
electronic total energy	-4.041	eV per atom
formation energy from the elements	1843	meV/atom

***

[12]
Ba2TaZnRe: optimized geometry, PBE.

```
data_Ba2TaZnRe
_cell_length_a 5.9428
_cell_length_b 4.7488
_cell_length_c 5.9428
_cell_angle_alpha 90.00
_cell_angle_beta 90.00
_cell_angle_gamma 90.00
_symmetry_space_group_name_H-M 'P 1'
_symmetry_Int_Tables_number 1
loop_
_symmetry_equiv_pos_as_xyz
'x,y,z'
loop_
_atom_site_label
_atom_site_type_symbol
_atom_site_fract_x
_atom_site_fract_y
_atom_site_fract_z
Re1 Re 0.0000 0.5000 0.0000
Zn1 Zn 0.0000 0.0000 0.0000
Ba1 Ba 0.0000 0.0000 0.5000
Ba2 Ba 0.5000 0.0000 0.0000
Ta1 Ta 0.5000 0.5000 0.5000
```

## Properties
energy above the lowest structure with this stoichiometry	0.00	kcal/mol of atoms
electronic total energy	-4.099	eV per atom
formation energy from the elements	1785	meV/atom